ScHgP2: optimized geometry, PBE.

Spin magnetization ... 0.0 μB/f.u.
Crystal system ... tetragonal
Fermi-level density of states ... 2.2 states/eV/f.u.
SG ... I-4m2, No. 119

a b c (Å): 5.7351 5.7351 5.7351
angles (deg): 141.12 141.12 56.16
Last column: nearest neighbours and their distance in Å.
Element x y z (fractional)
Hg 0.7500 0.2500 0.5000  4 P 2.70
P 0.0000 0.0000 0.0000  4 Sc 2.70
P 0.2500 0.7500 0.5000  4 Hg 2.70
Sc 0.5000 0.5000 0.0000  4 P 2.70

Hf5ZrP3: optimized geometry, PBE.

Spin magnetization ... 0.0 μB/f.u.
Crystal system ... monoclinic
Fermi-level density of states ... 6.3 states/eV/f.u.
SG ... C2/m, No. 12

a b c (Å): 6.9665 6.9665 9.1595
angles (deg): 69.83 69.83 73.75
Last column: nearest neighbours and their distance in Å.
Element x y z (fractional)
Hf 0.9587 0.3678 0.3276  3 P 2.47-2.50
Hf 0.2959 0.7041 0.0000  3 P 2.47-2.50
Hf 0.7650 0.7650 0.0302  3 P 2.48-2.51
Hf 0.4312 0.4312 0.3634  3 P 2.48-2.51
Hf 0.5688 0.5688 0.6366  3 P 2.48-2.51
Hf 0.2350 0.2350 0.9698  3 P 2.48-2.51
Hf 0.3678 0.9587 0.3276  3 P 2.47-2.50
Hf 0.7041 0.2959 0.0000  3 P 2.47-2.50
Hf 0.0413 0.6322 0.6724  3 P 2.47-2.50
Hf 0.6322 0.0413 0.6724  3 P 2.47-2.50
Zr 0.1000 0.1000 0.6956  3 P 2.48-2.52
Zr 0.9000 0.9000 0.3044  3 P 2.48-2.52
P 0.6670 0.6670 0.8331  6 Hf 2.48-2.50
P 0.6647 0.6647 0.3337  5 Hf 2.47-2.51, 1 Zr 2.52
P 0.0000 0.0000 0.0000  4 Hf 2.47-2.51, 2 Zr 2.52
P 0.0000 0.0000 0.5000  2 Zr 2.48, 4 Hf 2.50
P 0.3330 0.3330 0.1669  6 Hf 2.48-2.50
P 0.3353 0.3353 0.6663  5 Hf 2.47-2.51, 1 Zr 2.52

Number 1: final energy -18.46 eV for the cell shown. Number 2: final energy -161.42 eV for the cell shown.